First-principles (GGA-PBE) data for a relaxed BiH crystal, as listed in Alexandria via LeMat-Bulk.

Summary:
Its polymorph energy (0 for the lowest one) is 0.79 eV per formula unit. The total DFT energy (no corrections) comes out at -3.18 eV per atom.

Lattice parameters (Å, degrees): 3.8717 9.7908 6.5861 90.00 90.00 90.00
With the nearest neighbours (Å) after each atom.
Atoms (fractional coordinates):
1 Bi 0.2500 0.0912 0.2431  2 H 2.12
2 Bi 0.2500 0.4088 0.2431  2 H 2.12
3 Bi 0.2500 0.7500 0.3928  2 H 2.11
4 Bi 0.7500 0.2500 0.6072  2 H 2.11
5 Bi 0.7500 0.5911 0.7569  2 H 2.12
6 Bi 0.7500 0.9088 0.7569  2 H 2.12
7 H 0.2500 0.2500 0.7350  2 Bi 2.11
8 H 0.2500 0.5819 0.8891  2 Bi 2.12
9 H 0.2500 0.9181 0.8891  2 Bi 2.12
10 H 0.7500 0.0819 0.1109  2 Bi 2.12
11 H 0.7500 0.4181 0.1109  2 Bi 2.12
12 H 0.7500 0.7500 0.2650  2 Bi 2.11



First-principles (GGA-PBE) data for a relaxed Bi2H crystal, as listed in Alexandria via LeMat-Bulk.

Summary:
The total DFT energy (no corrections) comes out at -3.45 eV per atom.

Lattice parameters (Å, degrees): 4.9350 4.9350 6.5327 90.00 90.00 81.61
With the nearest neighbours (Å) after each atom.
Atoms (fractional coordinates):
1 Bi 0.0180 0.5356 0.7500  1 H 2.07
2 Bi 0.4644 0.9820 0.7500  1 H 2.07
3 Bi 0.5356 0.0180 0.2500  1 H 2.07
4 Bi 0.9820 0.4644 0.2500  1 H 2.07
5 H 0.2591 0.7409 0.2500  2 Bi 2.07
6 H 0.7409 0.2591 0.7500  2 Bi 2.07



First-principles (GGA-PBE) data for a relaxed Bi5H crystal, as listed in Alexandria via LeMat-Bulk.

Summary:
The total DFT energy (no corrections) comes out at -3.46 eV per atom.

Lattice parameters (Å, degrees): 9.3993 9.3993 5.5984 90.00 90.00 158.99
With the nearest neighbours (Å) after each atom.
Atoms (fractional coordinates):
1 Bi 0.0000 0.0000 0.0000  4 H 3.28, 10 Bi 3.33-3.63
2 Bi 0.0971 0.9029 0.5000  2 H 2.48
3 Bi 0.3269 0.6731 0.0000  10 Bi 3.32-3.63
4 Bi 0.6731 0.3269 0.0000  10 Bi 3.32-3.63
5 Bi 0.9029 0.0971 0.5000  2 H 2.48
6 H 0.5000 0.5000 0.5000  4 Bi 2.48



First-principles (GGA-PBE) data for a relaxed BiH crystal, as listed in Alexandria via LeMat-Bulk.

Summary:
Its polymorph energy (0 for the lowest one) is 0.45 eV per formula unit. The total DFT energy (no corrections) comes out at -3.35 eV per atom.

Lattice parameters (Å, degrees): 4.7434 5.1668 5.2206 70.82 65.63 64.36
With the nearest neighbours (Å) after each atom.
Atoms (fractional coordinates):
1 Bi 0.0103 0.1785 0.1797  1 H 1.84
2 Bi 0.9897 0.8215 0.8203  1 H 1.84
3 H 0.4425 0.6857 0.6994  1 Bi 1.84
4 H 0.5575 0.3143 0.3006  1 Bi 1.84



First-principles (GGA-PBE) data for a relaxed BiH crystal, as listed in Alexandria via LeMat-Bulk.

Summary:
Its polymorph energy (0 for the lowest one) is 0.50 eV per formula unit. The total DFT energy (no corrections) comes out at -3.32 eV per atom.

Lattice parameters (Å, degrees): 3.2832 3.2832 4.7050 110.31 110.31 90.26
With the nearest neighbours (Å) after each atom.
Atoms (fractional coordinates):
1 Bi 0.0000 0.0000 0.0000  1 H 1.85
2 H 0.2253 0.2253 0.4524  1 Bi 1.85



First-principles (GGA-PBE) data for a relaxed BiH2 crystal, as listed in Alexandria via LeMat-Bulk.

Summary:
The total DFT energy (no corrections) comes out at -2.88 eV per atom.

Lattice parameters (Å, degrees): 4.1001 4.1001 4.1001 131.91 131.91 70.37
With the nearest neighbours (Å) after each atom.
Atoms (fractional coordinates):
1 Bi 0.0000 0.0000 0.0000  2 H 2.17
2 H 0.3240 0.3240 0.0000  1 Bi 2.17, 1 H 2.36
3 H 0.6760 0.6760 0.0000  1 Bi 2.17, 1 H 2.36



total DFT energy (no corrections) of number 2 (Bi2H)? -3.45 eV per atom



Among the records above, which one has the lowest total DFT energy (no corrections)? Bi5H



Which value of total DFT energy (no corrections) does entry 3 give? -3.46 eV per atom



Which value of total DFT energy (no corrections) does entry 6 give? -2.88 eV per atom